No. 1
{
  "formula": "AcLa3PrHo",
  "functional": "PBE",
  "state": "optimized geometry",
  "space_group": "No. 12",
  "formation_energy_ev_per_fu": 0.968,
  "n_ef_per_ev_cell": 17.095,
  "energy_ry_per_atom": -0.3342,
  "m_tot_mub_per_fu": 0.0,
  "lattice": [[5.997, 0.000, 0.000], [-2.999, 10.459, 1.648], [0.000, -1.282, 7.008]],
  "species": ["Pr", "Pr", "Ac", "Ac", "La", "La", "La", "La", "La", "La", "Ho", "Ho"],
  "frac_coords": [[0.943, 0.886, 0.720], [0.057, 0.114, 0.280], [0.649, 0.298, 0.032], [0.351, 0.702, 0.968], [0.781, 0.563, 0.718], [0.840, 0.681, 0.253], [0.515, 0.030, 0.747], [0.485, 0.970, 0.253], [0.219, 0.437, 0.282], [0.160, 0.319, 0.747], [0.641, 0.282, 0.492], [0.359, 0.718, 0.508]]
}

=====

No. 2
{
  "formula": "TlSb2Ir",
  "functional": "PBE",
  "state": "optimized geometry",
  "space_group": "No. 160",
  "n_ef_per_ev_cell": 3.106,
  "energy_ry_per_atom": -0.3406,
  "raw_formation_energy_ev_per_fu": 0.93,
  "m_tot_mub_per_fu": 0.0,
  "lattice": [[-3.445, 5.952, -6.203], [-6.291, 3.830, -5.615], [-5.592, 6.563, -3.381]],
  "species": ["Sb", "Sb", "Ir", "Tl"],
  "frac_coords": [[0.020, 0.020, 0.020], [0.249, 0.249, 0.249], [0.744, 0.744, 0.744], [0.487, 0.487, 0.487]]
}

=====

No. 3
{
  "formula": "HSeSBr2",
  "functional": "PBE",
  "state": "optimized geometry",
  "space_group": "No. 123",
  "n_ef_per_ev_cell": 3.534,
  "energy_ry_per_atom": -0.1514,
  "m_tot_mub_per_fu": 0.9,
  "lattice": [[5.225, 0.000, 0.000], [0.000, 5.225, 0.000], [0.000, 0.000, 4.837]],
  "species": ["H", "Br", "Br", "S", "Se"],
  "frac_coords": [[0.500, 0.500, 0.500], [0.000, 0.500, 0.000], [0.500, 0.000, 0.000], [0.000, 0.000, 0.000], [0.000, 0.000, 0.500]]
}